[1]
A plane-wave DFT calculation with PBE-GGA was carried out for a geometry-optimized RbAgSnTeSe2 structure.

Cell lengths 8.4300, 8.4300, 11.4765 Å; angles 90.00, 90.00, 152.37 degrees
Atoms (fractional coordinates):
Rb  0.2410  0.7590  0.7500
Rb  0.7590  0.2410  0.2500
Te  0.0671  0.9329  0.2500
Te  0.9329  0.0671  0.7500
Sn  0.0000  0.0000  0.0000
Ag  0.5549  0.4451  0.7500
Se  0.6178  0.3822  0.5404
Se  0.3822  0.6178  0.4596
Se  0.3822  0.6178  0.0404
Ag  0.4451  0.5549  0.2500
Sn  0.0000  0.0000  0.5000
Se  0.6178  0.3822  0.9596



[2]
A plane-wave DFT calculation with PBE-GGA was carried out for a geometry-optimized PrNdIn4Pd2 structure.

Cell lengths 4.6395, 7.4938, 5.8750 Å; angles 90.00, 113.00, 90.00 degrees
Atoms (fractional coordinates):
In  0.8629  0.2001  0.7245
Pd  0.2946  0.0000  0.5864
In  0.1370  0.2996  0.2754
Nd  0.5770  0.0000  0.1532
Pd  0.7054  0.5000  0.4137
In  0.1370  0.7004  0.2754
In  0.8629  0.7999  0.7245
Pr  0.4230  0.5000  0.8470

Values from the calculation:
Total magnetic moment (μB/f.u.): 0.01



[3]
A plane-wave DFT calculation with PBE-GGA was carried out for a geometry-optimized LiInFeTc structure.

Cell lengths 4.2639, 4.2639, 4.2639 Å; angles 60.00, 60.00, 60.00 degrees
Atoms (fractional coordinates):
Tc  0.5000  0.5000  0.5000
In  0.0000  0.0000  0.0000
Li  0.2500  0.2500  0.2500
Fe  0.7500  0.7500  0.7500

Values from the calculation:
Total magnetic moment (μB/f.u.): 0.72



Number 1: VASP energy -3.4209 eV/atom. Number 2: VASP energy -4.5097 eV/atom. Number 3: VASP energy -5.6644 eV/atom.